# 1
Below is a crystal of SrLiHf2P relaxed with PBEsol, with properties calculated at the SCAN level.

Unit cell a=4.878 b=4.971 c=4.971 alpha=90.00 beta=90.00 gamma=90.00
Positions (direct):
Sr 0.500 0.500 0.500
Li 0.500 0.000 0.000
Hf 0.000 0.000 0.500
Hf 0.000 0.500 0.000
P 0.000 0.000 0.000

Output
Its crystal system is tetragonal. For the magnetization, the calculation gives 0.00 μB per cell. The formation enthalpy at 0 K is -0.0053 eV/atom.

---

# 2
Below is a crystal of LaCoRe2 relaxed with PBEsol, with properties calculated at the SCAN level.

Unit cell a=2.777 b=2.777 c=9.899 alpha=81.94 beta=81.94 gamma=60.00
Site moments in Bohr magnetons follow the coordinates.
Positions (direct):
La 0.000 0.000 0.000  -0.01
Co 0.500 0.500 0.500  1.62
Re 0.766 0.766 0.703  0.00
Re 0.234 0.234 0.297  0.00

Output
Its crystal system is trigonal. For the magnetization, the calculation gives 1.58 μB per cell. The polymorph energy (0 for the lowest one) comes out at 136 meV per atom. The formation enthalpy at 0 K is 0.7368 eV/atom.

---

# 3
Below is a crystal of Li2VF5 relaxed with PBEsol, with properties calculated at the SCAN level.

Unit cell a=6.360 b=7.497 c=7.738 alpha=90.00 beta=90.00 gamma=90.00
Site moments in Bohr magnetons follow the coordinates.
Positions (direct):
F 0.710 0.772 0.874  0.04
F 0.461 0.719 0.588  0.00
F 0.292 0.995 0.878  0.01
F 0.555 0.250 0.836  0.00
F 0.708 0.495 0.122  0.01
F 0.744 0.007 0.125  0.00
F 0.290 0.272 0.126  0.04
F 0.055 0.750 0.664  0.00
F 0.539 0.219 0.412  0.00
F 0.945 0.250 0.336  0.00
F 0.756 0.007 0.625  0.00
F 0.790 0.772 0.374  0.04
F 0.792 0.495 0.622  0.01
F 0.961 0.219 0.912  0.00
F 0.445 0.750 0.164  0.00
F 0.208 0.995 0.378  0.01
F 0.256 0.507 0.875  0.00
F 0.244 0.507 0.375  0.00
F 0.210 0.272 0.626  0.04
F 0.039 0.719 0.088  0.00
Li 0.276 0.547 0.126  0.00
Li 0.813 0.274 0.118  0.00
Li 0.776 0.047 0.374  0.00
Li 0.724 0.047 0.874  0.00
Li 0.313 0.774 0.382  0.00
Li 0.224 0.547 0.626  0.00
Li 0.187 0.774 0.882  0.00
Li 0.687 0.274 0.618  0.00
V 0.243 0.242 0.375  1.87
V 0.757 0.742 0.625  1.87
V 0.743 0.742 0.125  1.87
V 0.257 0.242 0.875  1.87

Output
Its crystal system is orthorhombic. For the magnetization, the calculation gives 8.00 μB per cell. The polymorph energy (0 for the lowest one) comes out at 55 meV per atom. For the energy relative to the elements, uncorrected, the calculation gives -3.155 eV/atom.

---

# 4
Below is a crystal of ZnS2BrN relaxed with PBEsol, with properties calculated at the SCAN level.

Unit cell a=3.662 b=4.908 c=4.908 alpha=90.00 beta=90.00 gamma=90.00
Site moments in Bohr magnetons follow the coordinates.
Positions (direct):
Br 0.000 0.000 0.000  -0.02
S 0.000 0.500 0.000  0.01
S 0.000 0.000 0.500  0.01
Zn 0.500 0.500 0.500  -0.01
N 0.500 0.000 0.000  0.22

Output
Its crystal system is tetragonal. For the magnetization, the calculation gives 0.30 μB per cell. For the energy relative to the elements, uncorrected, the calculation gives 1.563 eV/atom.

---

# 5
Below is a crystal of Cr2ReBr relaxed with PBEsol, with properties calculated at the SCAN level.

Unit cell a=3.579 b=3.579 c=5.116 alpha=110.48 beta=110.48 gamma=90.00
Site moments in Bohr magnetons follow the coordinates.
Positions (direct):
Re 0.500 0.500 0.000  0.08
Br 0.250 0.750 0.500  -0.02
Cr 0.750 0.250 0.500  3.08
Cr 0.000 0.000 0.000  -2.64

Output
Its crystal system is tetragonal. For the magnetization, the calculation gives 0.52 μB per cell. The polymorph energy (0 for the lowest one) comes out at 0 meV per atom. For the energy relative to the elements, uncorrected, the calculation gives 1.003 eV/atom.

---

# 6
Below is a crystal of AlRuC3 relaxed with PBEsol, with properties calculated at the SCAN level.

Unit cell a=3.937 b=3.937 c=3.937 alpha=90.00 beta=90.00 gamma=90.00
Positions (direct):
Ru 0.000 0.000 0.000
Al 0.500 0.500 0.500
C 0.000 0.500 0.000
C 0.500 0.000 0.000
C 0.000 0.000 0.500

Output
Its crystal system is cubic. For the magnetization, the calculation gives 0.00 μB per cell. The formation enthalpy at 0 K is 2.0686 eV/atom.

---

# 7
Below is a crystal of TlFeTc2 relaxed with PBEsol, with properties calculated at the SCAN level.

Unit cell a=2.864 b=4.739 c=4.766 alpha=102.21 beta=107.49 gamma=90.00
Site moments in Bohr magnetons follow the coordinates.
Positions (direct):
Tl 0.500 0.000 0.000  -0.02
Fe 0.000 0.500 0.000  2.72
Tc 0.266 0.291 0.532  -0.16
Tc 0.734 0.709 0.468  -0.16

Output
Its crystal system is monoclinic. For the magnetization, the calculation gives 2.34 μB per cell. The polymorph energy (0 for the lowest one) comes out at 93 meV per atom. The formation enthalpy at 0 K is 0.4769 eV/atom.

---

# 8
Below is a crystal of Ga2PbS4 relaxed with PBEsol, with properties calculated at the SCAN level.

Unit cell a=11.800 b=11.800 c=11.940 alpha=105.05 beta=105.05 gamma=118.32
Positions (direct):
S 0.279 0.717 0.748
S 0.542 0.292 0.582
S 0.208 0.458 0.418
S 0.040 0.790 0.082
S 0.708 0.458 0.418
S 0.542 0.792 0.582
S 0.811 0.222 0.752
S 0.040 0.790 0.582
S 0.542 0.292 0.082
S 0.971 0.033 0.752
S 0.210 0.960 0.418
S 0.042 0.292 0.082
S 0.540 0.790 0.082
S 0.708 0.458 0.918
S 0.309 0.220 0.748
S 0.283 0.721 0.252
S 0.469 0.031 0.748
S 0.708 0.958 0.918
S 0.040 0.290 0.582
S 0.941 0.530 0.752
S 0.969 0.531 0.252
S 0.210 0.960 0.918
S 0.778 0.189 0.248
S 0.281 0.219 0.248
S 0.967 0.029 0.248
S 0.470 0.059 0.248
S 0.710 0.960 0.418
S 0.472 0.561 0.252
S 0.439 0.528 0.748
S 0.780 0.691 0.252
S 0.781 0.719 0.752
S 0.210 0.460 0.918
Ga 0.265 0.906 0.250
Ga 0.489 0.263 0.249
Ga 0.014 0.239 0.751
Ga 0.985 0.344 0.250
Ga 0.985 0.844 0.250
Ga 0.513 0.239 0.749
Ga 0.156 0.015 0.750
Ga 0.761 0.986 0.249
Ga 0.094 0.735 0.750
Ga 0.265 0.406 0.250
Ga 0.489 0.764 0.251
Ga 0.761 0.487 0.251
Ga 0.594 0.735 0.750
Ga 0.236 0.511 0.749
Ga 0.656 0.015 0.750
Ga 0.737 0.511 0.751
Pb 0.000 0.000 0.000
Pb 0.002 0.502 0.004
Pb 0.750 0.250 0.500
Pb 0.752 0.752 0.504
Pb 0.500 0.500 0.000
Pb 0.248 0.248 0.496
Pb 0.498 0.998 0.996
Pb 0.250 0.750 0.500

Output
Its crystal system is orthorhombic. For the magnetization, the calculation gives 0.00 μB per cell. For the energy relative to the elements, uncorrected, the calculation gives -0.751 eV/atom.